The following is a DFT calculation (GGA-PBE) of crystalline BaBTe at its relaxed geometry.

Structure (POSCAR):
```
BaBTe
1.0
-2.409 2.522 7.197
2.409 -2.522 7.197
2.409 2.522 -7.197
Ba B Te
2 2 2
direct
0.138 0.138 0.000
0.862 0.862 0.000
0.500 0.166 0.666
0.500 0.834 0.334
0.380 0.380 0.000
0.620 0.620 0.000
```

Computed properties:
Calculated volume: 174.86 Å³ per cell
Symmetry: Immm (71)
Energy: -0.1568 Ha/atom
D(E_F): 0.574 states/eV/atom
Calculated density: 5237 kg/m³